Mg4CoAg | PBE | relaxed

Cell and atoms, written as POSCAR:
```
Mg4CoAg
1.0
0.000 3.888 3.888
3.888 0.000 3.888
3.888 3.888 0.000
Mg Co Ag
4 1 1
direct
0.125 0.125 0.125 Mg
0.125 0.125 0.624 Mg
0.125 0.624 0.125 Mg
0.624 0.125 0.125 Mg
0.500 0.500 0.500 Co
0.750 0.750 0.750 Ag
```

Results
V: 117.6 Å³ per cell
E_form: 0.428 eV/atom
Total moment: 1.16 μB/cell
Density of states at the Fermi level: 6.37 states/eV/cell